[1]
Entry from Alexandria: a geometry-optimized La12MgAg6 structure (PBE).

Cell lengths 9.1635, 9.1635, 9.1635 Å; angles 110.91, 110.91, 110.91 degrees
With the nearest neighbours (Å) after each atom.
Element x y z (fractional)
La1 0.0164 0.1649 0.3074  4 La 3.23-3.53, 4 Ag 3.28-3.55, 1 Mg 3.61
La2 0.1649 0.3074 0.0164  4 La 3.23-3.53, 4 Ag 3.28-3.55, 1 Mg 3.61
La3 0.2466 0.6919 0.6206  2 La 3.23-3.28, 5 Ag 3.27-3.41, 1 Mg 3.61
La4 0.3074 0.0164 0.1649  4 La 3.23-3.53, 4 Ag 3.28-3.55, 1 Mg 3.61
La5 0.3081 0.3794 0.7534  2 La 3.23-3.28, 5 Ag 3.27-3.41, 1 Mg 3.61
La6 0.3794 0.7534 0.3081  2 La 3.23-3.28, 5 Ag 3.27-3.41, 1 Mg 3.61
La7 0.6206 0.2466 0.6919  2 La 3.23-3.28, 5 Ag 3.27-3.41, 1 Mg 3.61
La8 0.6919 0.6206 0.2466  2 La 3.23-3.28, 5 Ag 3.27-3.41, 1 Mg 3.61
La9 0.6926 0.9836 0.8351  4 La 3.23-3.53, 4 Ag 3.28-3.55, 1 Mg 3.61
La10 0.7534 0.3081 0.3794  2 La 3.23-3.28, 5 Ag 3.27-3.41, 1 Mg 3.61
La11 0.8351 0.6926 0.9836  4 La 3.23-3.53, 4 Ag 3.28-3.55, 1 Mg 3.61
La12 0.9836 0.8351 0.6926  4 La 3.23-3.53, 4 Ag 3.28-3.55, 1 Mg 3.61
Mg1 0.5000 0.5000 0.5000  12 La 3.61
Ag1 0.0689 0.5493 0.8422  9 La 3.27-3.55, 2 Ag 3.46
Ag2 0.1578 0.9311 0.4507  9 La 3.27-3.55, 2 Ag 3.46
Ag3 0.4507 0.1578 0.9311  9 La 3.27-3.55, 2 Ag 3.46
Ag4 0.5493 0.8422 0.0689  9 La 3.27-3.55, 2 Ag 3.46
Ag5 0.8422 0.0689 0.5493  9 La 3.27-3.55, 2 Ag 3.46
Ag6 0.9311 0.4507 0.1578  9 La 3.27-3.55, 2 Ag 3.46

Results
- space group = No. 148
- E_tot (eV per atom) = -4.178
- energy relative to the elements (eV per formula unit) = -1.554

=====

[2]
Entry from Alexandria: a geometry-optimized La2TbNd2Ho2 structure (PBE).

Cell lengths 6.2889, 6.2889, 8.1714 Å; angles 97.43, 97.43, 48.34 degrees
With the nearest neighbours (Å) after each atom.
Element x y z (fractional)
La1 0.1419 0.1419 0.4255  5 Ho 3.62-3.67, 1 Tb 3.62, 3 La 3.64-3.66, 3 Nd 3.65-3.69
La2 0.8581 0.8581 0.5745  5 Ho 3.62-3.67, 1 Tb 3.62, 3 La 3.64-3.66, 3 Nd 3.65-3.69
Tb1 0.0000 0.0000 0.0000  6 Nd 3.62-3.63, 2 La 3.62, 4 Ho 3.63
Nd1 0.2854 0.2854 0.8597  2 Nd 3.62, 3 Tb 3.62-3.63, 4 Ho 3.62-3.64, 3 La 3.65-3.69
Nd2 0.7146 0.7146 0.1403  2 Nd 3.62, 3 Tb 3.62-3.63, 4 Ho 3.62-3.64, 3 La 3.65-3.69
Ho1 0.4294 0.4294 0.2841  5 La 3.62-3.67, 4 Nd 3.62-3.64, 2 Tb 3.63, 1 Ho 3.67
Ho2 0.5706 0.5706 0.7159  5 La 3.62-3.67, 4 Nd 3.62-3.64, 2 Tb 3.63, 1 Ho 3.67

Results
- space group = No. 12
- E_tot (eV per atom) = -4.715
- energy relative to the elements (eV per formula unit) = 0.172

=====

[3]
Entry from Alexandria: a geometry-optimized Ho4AlTl3 structure (PBE).

Cell lengths 3.6730, 3.6730, 15.4365 Å; angles 90.00, 90.00, 90.00 degrees
With the nearest neighbours (Å) after each atom.
Element x y z (fractional)
Ho1 0.0000 0.0000 0.1137  4 Al 3.14, 4 Tl 3.28
Ho2 0.0000 0.0000 0.3705  8 Tl 3.26-3.28
Ho3 0.0000 0.0000 0.6295  8 Tl 3.26-3.28
Ho4 0.0000 0.0000 0.8863  4 Al 3.14, 4 Tl 3.28
Al1 0.5000 0.5000 0.0000  8 Ho 3.14
Tl1 0.5000 0.5000 0.2431  8 Ho 3.26-3.28
Tl2 0.5000 0.5000 0.5000  8 Ho 3.28
Tl3 0.5000 0.5000 0.7569  8 Ho 3.26-3.28

Results
- polymorph energy (0 for the lowest one) (eV per formula unit) = 0.00
- space group = No. 123
- E_tot (eV per atom) = -3.986
- energy relative to the elements (eV per formula unit) = -2.739

=====

[4]
Entry from Alexandria: a geometry-optimized HfIn3F structure (PBE).

Cell lengths 4.7555, 4.7555, 4.7555 Å; angles 90.00, 90.00, 90.00 degrees
With the nearest neighbours (Å) after each atom.
Element x y z (fractional)
Hf1 0.0000 0.0000 0.0000  12 In 3.36
In1 0.0000 0.5000 0.5000  2 F 2.38
In2 0.5000 0.0000 0.5000  2 F 2.38
In3 0.5000 0.5000 0.0000  2 F 2.38
F1 0.5000 0.5000 0.5000  6 In 2.38

Results
- polymorph energy (0 for the lowest one) (eV per formula unit) = 0.00
- space group = No. 221
- uncorrected formation energy (eV per atom) = -0.3710
- E_tot (eV per atom) = -4.379

=====

[5]
Entry from Alexandria: a geometry-optimized LiLaFe2 structure (PBE).

Cell lengths 3.3690, 3.3957, 6.2958 Å; angles 90.00, 90.00, 90.00 degrees
With the nearest neighbours (Å) after each atom.
Element x y z (fractional)
Li1 0.0000 0.0000 0.0000  8 Fe 2.64
La1 0.0000 0.0000 0.5000  8 Fe 3.14, 2 Li 3.15, 4 La 3.37-3.40
Fe1 0.5000 0.5000 0.1780  1 Fe 2.24
Fe2 0.5000 0.5000 0.8220  1 Fe 2.24

Results
- polymorph energy (0 for the lowest one) (eV per formula unit) = 0.79
- space group = No. 47
- E_tot (eV per atom) = -5.533
- energy relative to the elements (eV per formula unit) = 1.636

=====

[6]
Entry from Alexandria: a geometry-optimized Sm6Te2Se3 structure (PBE).

Cell lengths 21.2450, 21.2450, 21.2450 Å; angles 11.28, 11.28, 11.28 degrees
With the nearest neighbours (Å) after each atom.
Element x y z (fractional)
Sm1 0.0801 0.0801 0.0801  3 Se 2.93, 3 Te 3.14
Sm2 0.1888 0.1888 0.1888  3 Te 3.18
Sm3 0.3607 0.3607 0.3607  6 Se 2.93-2.97
Sm4 0.6393 0.6393 0.6393  6 Se 2.93-2.97
Sm5 0.8112 0.8112 0.8112  3 Te 3.18
Sm6 0.9199 0.9199 0.9199  3 Se 2.93, 3 Te 3.14
Te1 0.4453 0.4453 0.4453  6 Sm 3.14-3.18
Te2 0.5547 0.5547 0.5547  6 Sm 3.14-3.18
Se1 0.0000 0.0000 0.0000  6 Sm 2.97
Se2 0.2795 0.2795 0.2795  6 Sm 2.93
Se3 0.7205 0.7205 0.7205  6 Sm 2.93

Results
- space group = No. 166
- uncorrected formation energy (eV per atom) = -1.4647
- E_tot (eV per atom) = -5.560

=====

[7]
Entry from Alexandria: a geometry-optimized TaMn2Re structure (PBE).

Cell lengths 8.7946, 8.7946, 8.7946 Å; angles 18.30, 18.30, 18.30 degrees
With the nearest neighbours (Å) after each atom.
Element x y z (fractional)
Ta1 0.0000 0.0000 0.0000  6 Mn 2.79, 6 Ta 2.80
Mn1 0.2456 0.2456 0.2456  3 Re 2.61, 3 Ta 2.79, 6 Mn 2.80
Mn2 0.7544 0.7544 0.7544  3 Re 2.61, 3 Ta 2.79, 6 Mn 2.80
Re1 0.5000 0.5000 0.5000  6 Mn 2.61, 6 Re 2.80

Results
- polymorph energy (0 for the lowest one) (eV per formula unit) = 1.12
- space group = No. 166
- E_tot (eV per atom) = -10.404
- energy relative to the elements (eV per formula unit) = 1.026

=====

[8]
Entry from Alexandria: a geometry-optimized Mg2CoIr structure (PBE).

Cell lengths 4.3703, 4.3703, 4.3703 Å; angles 60.00, 60.00, 60.00 degrees
With the nearest neighbours (Å) after each atom.
Element x y z (fractional)
Mg1 0.2500 0.2500 0.2500  4 Ir 2.68, 4 Co 2.68
Mg2 0.7500 0.7500 0.7500  4 Ir 2.68, 4 Co 2.68
Co1 0.0000 0.0000 0.0000  8 Mg 2.68
Ir1 0.5000 0.5000 0.5000  8 Mg 2.68

Results
- polymorph energy (0 for the lowest one) (eV per formula unit) = 0.16
- space group = No. 225
- E_tot (eV per atom) = -4.844
- energy relative to the elements (eV per formula unit) = -0.220

=====

[9]
Entry from Alexandria: a geometry-optimized PuMg3In2 structure (PBE).

Cell lengths 8.7872, 8.7872, 8.7997 Å; angles 120.04, 120.04, 31.90 degrees
With the nearest neighbours (Å) after each atom.
Element x y z (fractional)
Pu1 0.1210 0.1210 0.1204  6 In 3.30-3.51, 8 Mg 3.39-3.68, 1 Pu 3.49
Pu2 0.8790 0.8790 0.8796  6 In 3.30-3.51, 8 Mg 3.39-3.68, 1 Pu 3.49
Mg1 0.0008 0.0008 0.3374  2 In 2.86, 1 Mg 2.88
Mg2 0.3215 0.3215 0.5210  4 In 2.85-3.15
Mg3 0.3219 0.3219 0.1226  4 In 2.85-3.15
Mg4 0.6781 0.6781 0.8774  4 In 2.85-3.15
Mg5 0.6785 0.6785 0.4790  4 In 2.85-3.15
Mg6 0.9992 0.9992 0.6626  2 In 2.86, 1 Mg 2.88
In1 0.2028 0.2028 0.7031  8 Mg 3.00-3.27
In2 0.5002 0.5002 0.1620  4 Mg 2.85-2.86, 1 In 2.85
In3 0.4998 0.4998 0.8380  4 Mg 2.85-2.86, 1 In 2.85
In4 0.7972 0.7972 0.2969  8 Mg 3.00-3.27

Results
- space group = No. 12
- E_tot (eV per atom) = -4.165
- energy relative to the elements (eV per formula unit) = -0.396

=====

[10]
Entry from Alexandria: a geometry-optimized Na2Sm2BiO6 structure (PBE).

Cell lengths 6.1184, 6.1184, 5.9637 Å; angles 98.51, 98.51, 120.24 degrees
With the nearest neighbours (Å) after each atom.
Element x y z (fractional)
Na1 0.1584 0.8416 0.0000  6 O 2.50-2.77
Na2 0.8416 0.1584 0.0000  6 O 2.50-2.77
Sm1 0.3354 0.6646 0.5000  6 O 2.32-2.41
Sm2 0.6646 0.3354 0.5000  6 O 2.32-2.41
Bi1 0.0000 0.0000 0.5000  6 O 2.24-2.34
O1 0.0477 0.3858 0.7035  2 Sm 2.32-2.39, 1 Bi 2.34, 1 Na 2.50
O2 0.2511 0.2511 0.2906  1 Bi 2.24, 2 Sm 2.41
O3 0.3858 0.0477 0.7035  2 Sm 2.32-2.39, 1 Bi 2.34, 1 Na 2.50
O4 0.6142 0.9523 0.2965  2 Sm 2.32-2.39, 1 Bi 2.34, 1 Na 2.50
O5 0.7489 0.7489 0.7094  1 Bi 2.24, 2 Sm 2.41
O6 0.9523 0.6142 0.2965  2 Sm 2.32-2.39, 1 Bi 2.34, 1 Na 2.50

Results
- space group = No. 12
- uncorrected formation energy (eV per atom) = -2.1751
- E_tot (eV per atom) = -6.330

=====

[11]
Entry from Alexandria: a geometry-optimized RbCd2Te2 structure (PBE).

Cell lengths 8.7055, 8.0483, 8.0307 Å; angles 65.56, 57.32, 57.12 degrees
With the nearest neighbours (Å) after each atom.
Element x y z (fractional)
Rb1 0.1250 0.1250 0.1250  6 Te 3.66-4.06
Rb2 0.8750 0.8750 0.8750  6 Te 3.66-4.06
Cd1 0.2333 0.5167 0.2333  4 Te 2.96-3.05
Cd2 0.4833 0.7667 0.4833  4 Te 2.96-3.05
Cd3 0.5167 0.2333 0.5167  4 Te 2.96-3.05
Cd4 0.7667 0.4833 0.7667  4 Te 2.96-3.05
Te1 0.1717 0.1717 0.5783  4 Cd 2.96-3.05
Te2 0.4217 0.4217 0.8283  4 Cd 2.96-3.05
Te3 0.5783 0.5783 0.1717  4 Cd 2.96-3.05
Te4 0.8283 0.8283 0.4217  4 Cd 2.96-3.05

Results
- polymorph energy (0 for the lowest one) (eV per formula unit) = 0.00
- space group = No. 70
- uncorrected formation energy (eV per atom) = -0.4758
- E_tot (eV per atom) = -2.292

=====

[12]
Entry from Alexandria: a geometry-optimized Cd3HgRu structure (PBE).

Cell lengths 5.2403, 5.2403, 5.2403 Å; angles 90.00, 90.00, 90.00 degrees
With the nearest neighbours (Å) after each atom.
Element x y z (fractional)
Cd1 0.0000 0.0000 0.5000  2 Ru 2.62
Cd2 0.0000 0.5000 0.0000  2 Ru 2.62
Cd3 0.5000 0.0000 0.0000  2 Ru 2.62
Hg1 0.5000 0.5000 0.5000  12 Cd 3.71
Ru1 0.0000 0.0000 0.0000  6 Cd 2.62

Results
- polymorph energy (0 for the lowest one) (eV per formula unit) = 0.00
- space group = No. 221
- E_tot (eV per atom) = -1.926
- energy relative to the elements (eV per formula unit) = 2.694

=====

[13]
Entry from Alexandria: a geometry-optimized Zn2AgP structure (PBE).

Cell lengths 3.5334, 3.5334, 5.1611 Å; angles 90.00, 90.00, 90.00 degrees
With the nearest neighbours (Å) after each atom.
Element x y z (fractional)
Zn1 0.0000 0.0000 0.2403  2 Zn 2.48-2.68
Zn2 0.0000 0.0000 0.7597  2 Zn 2.48-2.68
Ag1 0.5000 0.5000 0.5000  2 P 2.58, 8 Zn 2.84
P1 0.5000 0.5000 0.0000  2 Ag 2.58, 8 Zn 2.79

Results
- space group = No. 123
- E_tot (eV per atom) = -2.569
- energy relative to the elements (eV per formula unit) = 0.534

=====

[14]
Entry from Alexandria: a geometry-optimized Ac4Ce3PuN8 structure (PBE).

Cell lengths 7.4586, 7.4586, 7.4586 Å; angles 59.21, 59.21, 59.21 degrees
With the nearest neighbours (Å) after each atom.
Element x y z (fractional)
Ac1 0.0000 0.0000 0.0000  6 N 2.80
Ac2 0.0000 0.5000 0.5000  6 N 2.76
Ac3 0.5000 0.0000 0.5000  6 N 2.76
Ac4 0.5000 0.5000 0.0000  6 N 2.76
Ce1 0.0000 0.0000 0.5000  6 N 2.49-2.50
Ce2 0.0000 0.5000 0.0000  6 N 2.49-2.50
Ce3 0.5000 0.0000 0.0000  6 N 2.49-2.50
Pu1 0.5000 0.5000 0.5000  6 N 2.46
N1 0.2376 0.2376 0.2376  3 Ce 2.49, 3 Ac 2.76
N2 0.2423 0.7341 0.7341  1 Pu 2.46, 2 Ce 2.50
N3 0.2659 0.2659 0.7577  1 Pu 2.46, 2 Ce 2.50
N4 0.2659 0.7577 0.2659  1 Pu 2.46, 2 Ce 2.50
N5 0.7341 0.2423 0.7341  1 Pu 2.46, 2 Ce 2.50
N6 0.7341 0.7341 0.2423  1 Pu 2.46, 2 Ce 2.50
N7 0.7577 0.2659 0.2659  1 Pu 2.46, 2 Ce 2.50
N8 0.7624 0.7624 0.7624  3 Ce 2.49, 3 Ac 2.76

Results
- space group = No. 166
- uncorrected formation energy (eV per atom) = -1.2228
- E_tot (eV per atom) = -8.421

=====

[15]
Entry from Alexandria: a geometry-optimized Sm3ZnCo structure (PBE).

Cell lengths 5.2204, 5.2204, 5.2204 Å; angles 90.00, 90.00, 90.00 degrees
With the nearest neighbours (Å) after each atom.
Element x y z (fractional)
Sm1 0.0000 0.0000 0.5000  2 Co 2.61
Sm2 0.0000 0.5000 0.0000  2 Co 2.61
Sm3 0.5000 0.0000 0.0000  2 Co 2.61
Zn1 0.5000 0.5000 0.5000  12 Sm 3.69
Co1 0.0000 0.0000 0.0000  6 Sm 2.61

Results
- polymorph energy (0 for the lowest one) (eV per formula unit) = 0.93
- space group = No. 221
- E_tot (eV per atom) = -4.467
- energy relative to the elements (eV per formula unit) = 0.200

=====

[16]
Entry from Alexandria: a geometry-optimized AcCd2Hg7 structure (PBE).

Cell lengths 10.0862, 10.0862, 3.6935 Å; angles 90.00, 90.00, 122.59 degrees
With the nearest neighbours (Å) after each atom.
Element x y z (fractional)
Ac1 0.0000 0.0000 0.0000  10 Hg 3.40-3.47, 2 Ac 3.69
Cd1 0.3280 0.6720 0.5000  5 Hg 2.92-3.04
Cd2 0.6720 0.3280 0.5000  5 Hg 2.92-3.04
Hg1 0.1230 0.3296 0.5000  1 Cd 2.92, 1 Hg 3.22
Hg2 0.1963 0.8037 0.0000  2 Cd 2.97, 4 Hg 3.31
Hg3 0.3296 0.1230 0.5000  1 Cd 2.92, 1 Hg 3.22
Hg4 0.5000 0.5000 0.5000  2 Cd 3.04, 4 Hg 3.22
Hg5 0.6704 0.8770 0.5000  1 Cd 2.92, 1 Hg 3.22
Hg6 0.8037 0.1963 0.0000  2 Cd 2.97, 4 Hg 3.31
Hg7 0.8770 0.6704 0.5000  1 Cd 2.92, 1 Hg 3.22

Results
- space group = No. 65
- E_tot (eV per atom) = -0.851
- energy relative to the elements (eV per formula unit) = -0.461

=====

[17]
Entry from Alexandria: a geometry-optimized Y2PbIBr structure (PBE).

Cell lengths 5.7412, 5.7412, 5.9148 Å; angles 90.00, 90.00, 90.00 degrees
With the nearest neighbours (Å) after each atom.
Element x y z (fractional)
Y1 0.0000 0.5000 0.0000  2 I 2.87
Y2 0.5000 0.0000 0.0000  2 I 2.87
Pb1 0.0000 0.0000 0.5000  2 I 2.96
I1 0.0000 0.0000 0.0000  4 Y 2.87, 2 Pb 2.96
Br1 0.5000 0.5000 0.5000  4 Pb 4.06, 8 Y 4.12

Results
- space group = No. 123
- uncorrected formation energy (eV per atom) = 0.2970
- E_tot (eV per atom) = -3.675

=====

[18]
Entry from Alexandria: a geometry-optimized Y2AgRh structure (PBE).

Cell lengths 4.8941, 4.8941, 4.8941 Å; angles 60.00, 60.00, 60.00 degrees
With the nearest neighbours (Å) after each atom.
Element x y z (fractional)
Y1 0.0000 0.0000 0.0000  4 Ag 3.00, 4 Y 3.00
Y2 0.2500 0.2500 0.2500  4 Rh 3.00, 4 Y 3.00
Ag1 0.7500 0.7500 0.7500  4 Y 3.00, 4 Rh 3.00
Rh1 0.5000 0.5000 0.5000  4 Ag 3.00, 4 Y 3.00

Results
- space group = No. 216
- E_tot (eV per atom) = -6.006
- energy relative to the elements (eV per formula unit) = -0.892

=====

[19]
Entry from Alexandria: a geometry-optimized Ca4CdCo structure (PBE).

Cell lengths 6.5235, 6.5235, 6.5235 Å; angles 60.00, 60.00, 60.00 degrees
With the nearest neighbours (Å) after each atom.
Element x y z (fractional)
Ca1 0.1252 0.1252 0.1252  6 Ca 3.26-3.27
Ca2 0.1252 0.1252 0.6243  6 Ca 3.26-3.27
Ca3 0.1252 0.6243 0.1252  6 Ca 3.26-3.27
Ca4 0.6243 0.1252 0.1252  6 Ca 3.26-3.27
Cd1 0.7500 0.7500 0.7500  12 Ca 3.83, 4 Co 3.99
Co1 0.5000 0.5000 0.5000  12 Ca 3.82, 4 Cd 3.99

Results
- space group = No. 216
- E_tot (eV per atom) = -1.938
- energy relative to the elements (eV per formula unit) = 4.399

=====

[20]
Entry from Alexandria: a geometry-optimized PdPt4Au structure (PBE).

Cell lengths 5.2556, 5.2556, 5.2556 Å; angles 60.00, 60.00, 60.00 degrees
With the nearest neighbours (Å) after each atom.
Element x y z (fractional)
Pd1 0.0000 0.0000 0.0000  12 Pt 3.08, 4 Au 3.22
Pt1 0.3748 0.3748 0.3748  6 Pt 2.62-2.63
Pt2 0.3748 0.3748 0.8755  6 Pt 2.62-2.63
Pt3 0.3748 0.8755 0.3748  6 Pt 2.62-2.63
Pt4 0.8755 0.3748 0.3748  6 Pt 2.62-2.63
Au1 0.7500 0.7500 0.7500  12 Pt 3.08, 4 Pd 3.22

Results
- polymorph energy (0 for the lowest one) (eV per formula unit) = 0.86
- space group = No. 216
- E_tot (eV per atom) = -5.288
- energy relative to the elements (eV per formula unit) = 0.904